Model i:
Compound: SrPd2Rh2
Source: Alexandria
Functional: PBE-GGA
Structure: optimized geometry

Results
Its density of states at the Fermi level is 9.7 states/eV/f.u.

abc: 4.4159 4.4159 10.3258
angles: 90.00 90.00 90.00
Space group I4/mmm (No. 139)
Asymmetric unit:
Sr: 0.0000 0.0000 0.0000 (multiplicity 2)
Pd: 0.0000 0.5000 0.2500 (multiplicity 4)
Rh: 0.0000 0.0000 0.3858 (multiplicity 4)

---

Model ii:
Compound: SrPd2Rh2
Source: Alexandria
Functional: PBE-GGA
Structure: optimized geometry

Results
Its density of states at the Fermi level is 8.7 states/eV/f.u.

abc: 7.8765 7.8765 2.8771
angles: 90.00 90.00 90.00
Space group P4/mbm (No. 127)
Asymmetric unit:
Sr: 0.0000 0.0000 0.0000 (multiplicity 2)
Pd: 0.1243 0.3757 0.0000 (multiplicity 4)
Rh: 0.1735 0.6735 0.5000 (multiplicity 4)

---

Sorted by energy, starting with the most stable: model i, model ii.

---

Model i:
Compound: SrPd3Rh
Source: Alexandria
Functional: PBE-GGA
Structure: optimized geometry

Results
Its density of states at the Fermi level is 14.4 states/eV/f.u.

abc: 5.0576 5.0576 5.0576
angles: 90.00 90.00 90.00
Space group Pm-3m (No. 221)
Asymmetric unit:
Sr: 0.0000 0.0000 0.0000 (multiplicity 1)
Pd: 0.0000 0.0000 0.5000 (multiplicity 3)
Rh: 0.5000 0.5000 0.5000 (multiplicity 1)

---

Model ii:
Compound: SrPd3Rh
Source: Alexandria
Functional: PBE-GGA
Structure: optimized geometry

Results
Its density of states at the Fermi level is 6.5 states/eV/f.u.

abc: 4.9192 4.9192 4.9192
angles: 90.00 90.00 90.00
Space group Pm-3m (No. 221)
Asymmetric unit:
Sr: 0.0000 0.0000 0.0000 (multiplicity 1)
Pd: 0.0000 0.5000 0.5000 (multiplicity 3)
Rh: 0.5000 0.5000 0.5000 (multiplicity 1)

---

Sorted by energy, starting with the most stable: model ii, model i.

---

Model i:
Compound: SrPdRh
Source: Alexandria
Functional: PBE-GGA
Structure: optimized geometry

Results
Its density of states at the Fermi level is 2.2 states/eV/f.u.

abc: 5.4708 5.5998 7.8499
angles: 90.00 90.00 90.00
Space group Imma (No. 74)
Asymmetric unit:
Sr: 0.0000 0.2500 0.1226 (multiplicity 4)
Pd: 0.0000 0.0000 0.5000 (multiplicity 4)
Rh: 0.2500 0.2500 0.7500 (multiplicity 4)

---

Model ii:
Compound: SrPdRh
Source: Alexandria
Functional: PBE-GGA
Structure: optimized geometry

Results
Its density of states at the Fermi level is 2.7 states/eV/f.u.

abc: 6.3277 6.3683 13.6507
angles: 90.00 90.00 90.00
Space group Fmmm (No. 69)
Asymmetric unit:
Sr: 0.0000 0.0000 0.1556 (multiplicity 8)
Pd: 0.0000 0.0000 0.3936 (multiplicity 8)
Rh: 0.2500 0.2500 0.0000 (multiplicity 8)

---

Sorted by energy, starting with the most stable: model i, model ii.

---

Model i:
Compound: Ta2PdRh2
Source: Alexandria
Functional: PBE-GGA
Structure: optimized geometry

Results
Its density of states at the Fermi level is 3.6 states/eV/f.u.

abc: 7.6312 7.6312 2.8999
angles: 90.00 90.00 90.00
Space group P4/mbm (No. 127)
Asymmetric unit:
Ta: 0.1574 0.3426 0.0000 (multiplicity 4)
Pd: 0.0000 0.0000 0.0000 (multiplicity 2)
Rh: 0.1371 0.6371 0.5000 (multiplicity 4)

---

Model ii:
Compound: Ta2PdRh2
Source: Alexandria
Functional: PBE-GGA
Structure: optimized geometry

Results
Its density of states at the Fermi level is 4.4 states/eV/f.u.

abc: 2.8531 4.4952 12.6479
angles: 90.00 90.00 90.00
Space group Pmmn (No. 59, origin choice 2)
Asymmetric unit:
Ta: 0.2500 0.2500 0.0567 (multiplicity 2)
Ta: 0.2500 0.7500 0.3535 (multiplicity 2)
Pd: 0.2500 0.7500 0.7420 (multiplicity 2)
Rh: 0.2500 0.2500 0.4618 (multiplicity 2)
Rh: 0.2500 0.7500 0.1497 (multiplicity 2)

---

Sorted by energy, starting with the most stable: model ii, model i.

---

Model i:
Compound: TaPdRh3
Source: Alexandria
Functional: PBE-GGA
Structure: optimized geometry

Results
Its density of states at the Fermi level is 5.1 states/eV/f.u.

abc: 4.6806 4.6806 4.6806
angles: 90.00 90.00 90.00
Space group Pm-3m (No. 221)
Asymmetric unit:
Ta: 0.0000 0.0000 0.0000 (multiplicity 1)
Pd: 0.5000 0.5000 0.5000 (multiplicity 1)
Rh: 0.0000 0.0000 0.5000 (multiplicity 3)

---

Model ii:
Compound: TaPdRh3
Source: Alexandria
Functional: PBE-GGA
Structure: optimized geometry

Results
Its density of states at the Fermi level is 8.4 states/eV/f.u.

abc: 4.6321 4.6321 4.6321
angles: 90.00 90.00 90.00
Space group Pm-3m (No. 221)
Asymmetric unit:
Ta: 0.0000 0.0000 0.0000 (multiplicity 1)
Pd: 0.5000 0.5000 0.5000 (multiplicity 1)
Rh: 0.0000 0.5000 0.5000 (multiplicity 3)

---

Sorted by energy, starting with the most stable: model i, model ii.

---

Model i:
Compound: Ta2Pd2Rh
Source: Alexandria
Functional: PBE-GGA
Structure: optimized geometry

Results
Its density of states at the Fermi level is 3.5 states/eV/f.u.

abc: 3.9722 14.5515 2.8210
angles: 90.00 90.00 90.00
Space group Cmmm (No. 65)
Asymmetric unit:
Ta: 0.0000 0.1033 0.0000 (multiplicity 4)
Pd: 0.0000 0.3103 0.5000 (multiplicity 4)
Rh: 0.0000 0.5000 0.5000 (multiplicity 2)

---

Model ii:
Compound: Ta2Pd2Rh
Source: Alexandria
Functional: PBE-GGA
Structure: optimized geometry

Results
Its density of states at the Fermi level is 4.7 states/eV/f.u.

abc: 7.3843 7.3843 3.0459
angles: 90.00 90.00 90.00
Space group P4/mbm (No. 127)
Asymmetric unit:
Ta: 0.1763 0.3237 0.0000 (multiplicity 4)
Pd: 0.1257 0.6257 0.5000 (multiplicity 4)
Rh: 0.0000 0.0000 0.5000 (multiplicity 2)

---

Sorted by energy, starting with the most stable: model i, model ii.